DFT (PBE) results for a relaxed structure of Cs20Rb3Na6.

Cell: 22.3948 22.3948 22.3948 Å, 90.00 90.00 90.00°
Last column: nearest neighbours and their distance in Å.
Space group Fm-3m (No. 225)
Symmetry-distinct sites (fractional):
Cs  0.0000  0.1696  0.1696 (multiplicity 48)  2 Na 4.41
Cs  0.1182  0.1182  0.3818 (multiplicity 32)  3 Na 4.51
Rb  0.0000  0.0000  0.0000 (multiplicity 4)  12 Cs 5.37
Rb  0.2500  0.2500  0.2500 (multiplicity 8)  4 Cs 5.11
Na  0.0000  0.0000  0.2694 (multiplicity 24)  8 Cs 4.41-4.51

Output
Uncorrected energy: -0.95 eV per atom
Crystal system: cubic
ΔH_f (0 K): 0.017 eV per atom
ρ: 1.8 g cm⁻³
DOS(E_F): 0.865 states/eV per atom


DFT (PBE) results for a relaxed structure of CsRbNa3.

Cell: 7.2444 7.2444 7.2444 Å, 90.00 90.00 90.00°
Last column: nearest neighbours and their distance in Å.
Space group Pm-3m (No. 221)
Symmetry-distinct sites (fractional):
Cs  0.0000  0.0000  0.0000 (multiplicity 1)  12 Na 5.12
Rb  0.5000  0.5000  0.5000 (multiplicity 1)  6 Na 3.62
Na  0.0000  0.5000  0.5000 (multiplicity 3)  2 Rb 3.62

Output
Uncorrected energy: -0.91 eV per atom
Energy above the lowest structure with this stoichiometry: 205 meV per atom
Crystal system: cubic
ΔH_f (0 K): 0.243 eV per atom
ρ: 1.3 g cm⁻³
DOS(E_F): 0.529 states/eV per atom


DFT (PBE) results for a relaxed structure of Cs2Rb9Na.

Cell: 7.1627 7.1627 20.9481 Å, 90.00 90.00 90.00°
Last column: nearest neighbours and their distance in Å.
Space group P4/mmm (No. 123)
Symmetry-distinct sites (fractional):
Cs  0.0000  0.0000  0.1795 (multiplicity 2)  12 Rb 5.06-5.19
Rb  0.0000  0.5000  0.0000 (multiplicity 2)  8 Rb 5.06-5.18, 4 Cs 5.19
Rb  0.0000  0.5000  0.3578 (multiplicity 4)  2 Na 4.66, 8 Rb 4.66-5.18, 2 Cs 5.17
Rb  0.5000  0.5000  0.1789 (multiplicity 2)  4 Cs 5.06, 8 Rb 5.18
Rb  0.5000  0.5000  0.5000 (multiplicity 1)  8 Rb 4.66, 4 Na 5.06
Na  0.0000  0.0000  0.5000 (multiplicity 1)  12 Rb 4.66-5.06

Output
Uncorrected energy: -0.96 eV per atom
Crystal system: tetragonal
ΔH_f (0 K): 0.015 eV per atom
ρ: 1.6 g cm⁻³
DOS(E_F): 0.887 states/eV per atom


DFT (PBE) results for a relaxed structure of Cs3Rb4Na2.

Cell: 16.6849 7.7180 14.1353 Å, 90.00 123.65 90.00°
Last column: nearest neighbours and their distance in Å.
Space group C2/m (No. 12)
Symmetry-distinct sites (fractional):
Cs  0.0000  0.0000  0.0000 (multiplicity 2)  6 Rb 4.84-5.03, 2 Cs 4.95, 4 Na 5.11
Cs  0.1621  0.5000  0.6667 (multiplicity 4)  2 Cs 4.82-4.95, 8 Rb 4.86-5.30, 4 Na 4.95-5.19
Rb  0.0813  0.0000  0.3997 (multiplicity 4)  3 Na 4.32-4.61
Rb  0.1942  0.5000  0.0476 (multiplicity 4)  2 Na 4.28-4.60
Na  0.1085  0.5000  0.2821 (multiplicity 4)  5 Rb 4.28-4.61

Output
Uncorrected energy: -0.98 eV per atom
Crystal system: monoclinic
ΔH_f (0 K): 0.025 eV per atom
ρ: 1.7 g cm⁻³
DOS(E_F): 0.776 states/eV per atom